1.
# LiLa2CdF PBE-GGA optimized geometry
data_LiLa2CdF
_cell_length_a 5.3884
_cell_length_b 5.3884
_cell_length_c 4.0826
_cell_angle_alpha 90.00
_cell_angle_beta 90.00
_cell_angle_gamma 90.00
_symmetry_space_group_name_H-M 'P 4/m m m'
_symmetry_Int_Tables_number 123
_symmetry_space_group_name_Hall '-P 4 2'
loop_
_atom_site_label
_atom_site_fract_x
_atom_site_fract_y
_atom_site_fract_z
_atom_site_occupancy
Li1 0.0000 0.0000 0.0000 1
La1 0.0000 0.5000 0.5000 1
Cd1 0.5000 0.5000 0.0000 1
F1 0.0000 0.0000 0.5000 1
# **Formation energy without anion corrections**: -1.1618 eV per atom

2.
# CdPbCl5 PBE-GGA optimized geometry
data_CdPbCl5
_cell_length_a 11.3576
_cell_length_b 8.3068
_cell_length_c 9.9375
_cell_angle_alpha 90.00
_cell_angle_beta 114.63
_cell_angle_gamma 90.00
_symmetry_space_group_name_H-M 'C 1 2/c 1'
_symmetry_Int_Tables_number 15
loop_
_symmetry_equiv_pos_as_xyz
'x,y,z'
'-x,-y,-z'
'-x,y,-z+1/2'
'x,-y,z+1/2'
'x+1/2,y+1/2,z'
'-x+1/2,-y+1/2,-z'
'-x+1/2,y+1/2,-z+1/2'
'x+1/2,-y+1/2,z+1/2'
loop_
_atom_site_label
_atom_site_fract_x
_atom_site_fract_y
_atom_site_fract_z
_atom_site_occupancy
Cd1 0.0000 0.0000 0.0000 1
Pb1 0.0000 0.4681 0.2500 1
Cl1 0.0000 0.1131 0.2500 1
Cl2 0.0401 0.3072 0.9650 1
Cl3 0.2443 0.0746 0.6518 1
# **Formation energy without anion corrections**: -0.8200 eV per atom

3.
# Zr2NbPd2 PBE-GGA optimized geometry
data_Zr2NbPd2
_cell_length_a 7.7518
_cell_length_b 7.7518
_cell_length_c 3.2066
_cell_angle_alpha 90.00
_cell_angle_beta 90.00
_cell_angle_gamma 90.00
_symmetry_space_group_name_H-M 'P 4/m b m'
_symmetry_Int_Tables_number 127
_symmetry_space_group_name_Hall '-P 4 2ab'
loop_
_atom_site_label
_atom_site_fract_x
_atom_site_fract_y
_atom_site_fract_z
_atom_site_occupancy
Zr1 0.1641 0.3359 0.0000 1
Nb1 0.0000 0.0000 0.0000 1
Pd1 0.1350 0.6350 0.5000 1
# **DFT formation energy**: -1.23 eV/f.u.
# **Polymorph energy (0 for the lowest one)**: 90 meV per atom

4.
# Dy4CoSe3 PBE-GGA optimized geometry
data_Dy4CoSe3
_cell_length_a 7.2285
_cell_length_b 8.1696
_cell_length_c 6.8770
_cell_angle_alpha 90.00
_cell_angle_beta 109.20
_cell_angle_gamma 90.00
_symmetry_space_group_name_H-M 'P 1 2/c 1'
_symmetry_Int_Tables_number 13
loop_
_symmetry_equiv_pos_as_xyz
'x,y,z'
'-x,-y,-z'
'-x,y,-z+1/2'
'x,-y,z+1/2'
loop_
_atom_site_label
_atom_site_fract_x
_atom_site_fract_y
_atom_site_fract_z
_atom_site_occupancy
Dy1 0.2246 0.1155 0.0056 1
Dy2 0.2310 0.3465 0.4773 1
Co1 0.0000 0.1166 0.2500 1
Se1 0.0000 0.3835 0.7500 1
Se2 0.5000 0.1248 0.7500 1
Se3 0.5000 0.3861 0.2500 1
# **Formation energy without anion corrections**: -1.3700 eV per atom

5.
# Li2Sc3Al4 PBE-GGA optimized geometry
data_Li2Sc3Al4
_cell_length_a 10.0857
_cell_length_b 4.5387
_cell_length_c 8.5186
_cell_angle_alpha 90.00
_cell_angle_beta 119.91
_cell_angle_gamma 90.00
_symmetry_space_group_name_H-M 'C 1 2/m 1'
_symmetry_Int_Tables_number 12
loop_
_symmetry_equiv_pos_as_xyz
'x,y,z'
'-x,-y,-z'
'-x,y,-z'
'x,-y,z'
'x+1/2,y+1/2,z'
'-x+1/2,-y+1/2,-z'
'-x+1/2,y+1/2,-z'
'x+1/2,-y+1/2,z'
loop_
_atom_site_label
_atom_site_fract_x
_atom_site_fract_y
_atom_site_fract_z
_atom_site_occupancy
Li1 0.1130 0.0000 0.2813 1
Sc1 0.0000 0.5000 0.0000 1
Sc2 0.1666 0.0000 0.6637 1
Al1 0.0450 0.5000 0.3788 1
Al2 0.2370 0.0000 0.0721 1
# **DFT formation energy**: -2.80 eV/f.u.

6.
# SrLaTc2Au PBE-GGA optimized geometry
data_SrLaTc2Au
_cell_length_a 4.7815
_cell_length_b 4.7815
_cell_length_c 6.1192
_cell_angle_alpha 90.00
_cell_angle_beta 90.00
_cell_angle_gamma 90.00
_symmetry_space_group_name_H-M 'P 4/m m m'
_symmetry_Int_Tables_number 123
_symmetry_space_group_name_Hall '-P 4 2'
loop_
_atom_site_label
_atom_site_fract_x
_atom_site_fract_y
_atom_site_fract_z
_atom_site_occupancy
Sr1 0.0000 0.0000 0.0000 1
La1 0.0000 0.0000 0.5000 1
Tc1 0.0000 0.5000 0.5000 1
Au1 0.5000 0.5000 0.0000 1
# **DFT formation energy**: 7.16 eV/f.u.

7.
# Ta2AgSb PBE-GGA optimized geometry
data_Ta2AgSb
_cell_length_a 2.9499
_cell_length_b 2.9499
_cell_length_c 9.4011
_cell_angle_alpha 90.00
_cell_angle_beta 90.00
_cell_angle_gamma 90.00
_symmetry_space_group_name_H-M 'P 4 m m'
_symmetry_Int_Tables_number 99
loop_
_symmetry_equiv_pos_as_xyz
'x,y,z'
'-y,x,z'
'-x,-y,z'
'y,-x,z'
'-x,y,z'
'y,x,z'
'x,-y,z'
'-y,-x,z'
loop_
_atom_site_label
_atom_site_fract_x
_atom_site_fract_y
_atom_site_fract_z
_atom_site_occupancy
Ta1 0.0000 0.0000 0.0000 1
Ta2 0.5000 0.5000 0.2357 1
Ag1 0.0000 0.0000 0.4599 1
Sb1 0.5000 0.5000 0.7586 1
# **Formation energy without anion corrections**: 0.2645 eV per atom

8.
# ZrAlCu2 PBE-GGA optimized geometry
data_ZrAlCu2
_cell_length_a 4.1593
_cell_length_b 4.1593
_cell_length_c 8.6085
_cell_angle_alpha 90.00
_cell_angle_beta 90.00
_cell_angle_gamma 120.00
_symmetry_space_group_name_H-M 'P -3 m 1'
_symmetry_Int_Tables_number 164
_symmetry_space_group_name_Hall '-P 3 2"'
loop_
_atom_site_label
_atom_site_fract_x
_atom_site_fract_y
_atom_site_fract_z
_atom_site_occupancy
Zr1 0.3333 0.6667 0.3846 1
Al1 0.0000 0.0000 0.1668 1
Cu1 0.3333 0.6667 0.0504 1
Cu2 0.3333 0.6667 0.7553 1
# **DFT formation energy**: -0.52 eV/f.u.

What did the fifth record say?
# Li2Sc3Al4 PBE-GGA optimized geometry
data_Li2Sc3Al4
_cell_length_a 10.0857
_cell_length_b 4.5387
_cell_length_c 8.5186
_cell_angle_alpha 90.00
_cell_angle_beta 119.91
_cell_angle_gamma 90.00
_symmetry_space_group_name_H-M 'C 1 2/m 1'
_symmetry_Int_Tables_number 12
loop_
_symmetry_equiv_pos_as_xyz
'x,y,z'
'-x,-y,-z'
'-x,y,-z'
'x,-y,z'
'x+1/2,y+1/2,z'
'-x+1/2,-y+1/2,-z'
'-x+1/2,y+1/2,-z'
'x+1/2,-y+1/2,z'
loop_
_atom_site_label
_atom_site_fract_x
_atom_site_fract_y
_atom_site_fract_z
_atom_site_occupancy
Li1 0.1130 0.0000 0.2813 1
Sc1 0.0000 0.5000 0.0000 1
Sc2 0.1666 0.0000 0.6637 1
Al1 0.0450 0.5000 0.3788 1
Al2 0.2370 0.0000 0.0721 1
# **DFT formation energy**: -2.80 eV/f.u.

Please write out number 5 again, unchanged.
# Li2Sc3Al4 PBE-GGA optimized geometry
data_Li2Sc3Al4
_cell_length_a 10.0857
_cell_length_b 4.5387
_cell_length_c 8.5186
_cell_angle_alpha 90.00
_cell_angle_beta 119.91
_cell_angle_gamma 90.00
_symmetry_space_group_name_H-M 'C 1 2/m 1'
_symmetry_Int_Tables_number 12
loop_
_symmetry_equiv_pos_as_xyz
'x,y,z'
'-x,-y,-z'
'-x,y,-z'
'x,-y,z'
'x+1/2,y+1/2,z'
'-x+1/2,-y+1/2,-z'
'-x+1/2,y+1/2,-z'
'x+1/2,-y+1/2,z'
loop_
_atom_site_label
_atom_site_fract_x
_atom_site_fract_y
_atom_site_fract_z
_atom_site_occupancy
Li1 0.1130 0.0000 0.2813 1
Sc1 0.0000 0.5000 0.0000 1
Sc2 0.1666 0.0000 0.6637 1
Al1 0.0450 0.5000 0.3788 1
Al2 0.2370 0.0000 0.0721 1
# **DFT formation energy**: -2.80 eV/f.u.